This record from Alexandria via LeMat-Bulk describes TaCoHg at its PBEsol-relaxed geometry. The functional is meta-GGA SCAN.

Cell and atoms, written as CIF:
```
data_TaCoHg
_cell_length_a 4.3918
_cell_length_b 4.3918
_cell_length_c 2.7887
_cell_angle_alpha 90.00
_cell_angle_beta 90.00
_cell_angle_gamma 120.00
_space_group_name_H-M_alt 'P 3 m 1'
_space_group_IT_number 156
_space_group_name_Hall 'P 3 -2"'
loop_
_atom_site_label
_atom_site_fract_x
_atom_site_fract_y
_atom_site_fract_z
_atom_site_occupancy
Ta1 0.0000 0.0000 0.0000 1
Co1 0.6667 0.3333 0.3553 1
Hg1 0.3333 0.6667 0.5082 1
```

Summary:
energy above the lowest structure with this stoichiometry	0.0000	eV/atom
ΔH_f (0 K)	35.69	kJ/mol of atoms
Fermi-level density of states	2.34	states/eV/cell

***

This record from Alexandria via LeMat-Bulk describes CoTcHg at its PBEsol-relaxed geometry. The functional is meta-GGA SCAN.

Cell and atoms, written as CIF:
```
data_CoTcHg
_cell_length_a 2.764
_cell_length_b 2.764
_cell_length_c 11.376
_cell_angle_alpha 90.00
_cell_angle_beta 90.00
_cell_angle_gamma 90.00
_space_group_name_H-M_alt 'I 4 m m'
_space_group_IT_number 107
_space_group_name_Hall 'I 4 -2'
loop_
_atom_site_label
_atom_site_fract_x
_atom_site_fract_y
_atom_site_fract_z
_atom_site_occupancy
Co1 0.000 0.000 0.000 1
Tc1 0.000 0.000 0.373 1
Hg1 0.000 0.000 0.677 1
```

Summary:
ΔH_f (0 K)	38.75	kJ/mol of atoms
Fermi-level density of states	4.53	states/eV/cell

***

This record from Alexandria via LeMat-Bulk describes Co2TcHg at its PBEsol-relaxed geometry. The functional is meta-GGA SCAN.

Cell and atoms, written as CIF:
```
data_Co2TcHg
_cell_length_a 6.022
_cell_length_b 6.022
_cell_length_c 6.022
_cell_angle_alpha 90.00
_cell_angle_beta 90.00
_cell_angle_gamma 90.00
_space_group_name_H-M_alt 'F -4 3 m'
_space_group_IT_number 216
_space_group_name_Hall 'F -4 2 3'
loop_
_atom_site_label
_atom_site_fract_x
_atom_site_fract_y
_atom_site_fract_z
_atom_site_occupancy
Co1 0.000 0.000 0.000 1
Co2 0.250 0.250 0.250 1
Tc1 0.250 0.250 0.750 1
Hg1 0.000 0.000 0.500 1
```

Summary:
ΔH_f (0 K)	69.53	kJ/mol of atoms
Fermi-level density of states	16.05	states/eV/cell

***

This record from Alexandria via LeMat-Bulk describes Co2TcHg at its PBEsol-relaxed geometry. The functional is meta-GGA SCAN.

Cell and atoms, written as CIF:
```
data_Co2TcHg
_cell_length_a 2.709
_cell_length_b 4.423
_cell_length_c 9.043
_cell_angle_alpha 90.00
_cell_angle_beta 90.00
_cell_angle_gamma 90.00
_space_group_name_H-M_alt 'I m m 2'
_space_group_IT_number 44
_space_group_name_Hall 'I 2 -2'
loop_
_atom_site_label
_atom_site_fract_x
_atom_site_fract_y
_atom_site_fract_z
_atom_site_occupancy
Co1 0.000 0.000 0.000 1
Co2 0.000 0.500 0.288 1
Tc1 0.000 0.000 0.548 1
Hg1 0.000 0.500 0.764 1
```

Summary:
ΔH_f (0 K)	45.53	kJ/mol of atoms
Fermi-level density of states	4.83	states/eV/cell

***

This record from Alexandria via LeMat-Bulk describes Co2TcHg at its PBEsol-relaxed geometry. The functional is meta-GGA SCAN.

Cell and atoms, written as CIF:
```
data_Co2TcHg
_cell_length_a 3.001
_cell_length_b 3.001
_cell_length_c 6.038
_cell_angle_alpha 90.00
_cell_angle_beta 90.00
_cell_angle_gamma 90.00
_space_group_name_H-M_alt 'P 4/m m m'
_space_group_IT_number 123
_space_group_name_Hall '-P 4 2'
loop_
_atom_site_label
_atom_site_fract_x
_atom_site_fract_y
_atom_site_fract_z
_atom_site_occupancy
Co1 0.000 0.000 0.214 1
Tc1 0.500 0.500 0.000 1
Hg1 0.500 0.500 0.500 1
```

Summary:
ΔH_f (0 K)	28.88	kJ/mol of atoms
Fermi-level density of states	2.15	states/eV/cell

***

This record from Alexandria via LeMat-Bulk describes CoHg2Te at its PBEsol-relaxed geometry. The functional is meta-GGA SCAN.

Cell and atoms, written as CIF:
```
data_CoHg2Te
_cell_length_a 6.866
_cell_length_b 6.866
_cell_length_c 6.866
_cell_angle_alpha 90.00
_cell_angle_beta 90.00
_cell_angle_gamma 90.00
_space_group_name_H-M_alt 'F -4 3 m'
_space_group_IT_number 216
_space_group_name_Hall 'F -4 2 3'
loop_
_atom_site_label
_atom_site_fract_x
_atom_site_fract_y
_atom_site_fract_z
_atom_site_occupancy
Co1 0.000 0.000 0.000 1
Hg1 0.000 0.000 0.500 1
Hg2 0.250 0.250 0.250 1
Te1 0.250 0.250 0.750 1
```

Summary:
energy relative to the elements, uncorrected	0.562	eV per atom
Fermi-level density of states	12.63	states/eV/cell

***

- Number 6 is which compound?
  CoHg2Te